PBE KTcPtSe2, optimized geometry; total magnetic moment = 0.925 μB/cell; ΔE_f (raw) = 0.7573 eV per atom; E = -20.7 eV/cell
1.0
-3.901 1.440 2.293
2.565 -1.401 5.243
1.793 4.387 0.295
K Se Tc Pt
1 2 1 1
direct
0.000 0.500 0.000
0.000 0.000 0.500
0.500 0.000 0.000
0.000 0.000 0.000
0.500 0.500 0.500